Entry from Alexandria via LeMat-Bulk: a relaxed Tl2WCl4F2 crystal (PBE+U).

a b c (Å): 11.5176 7.2397 5.9009
angles (deg): 90.00 103.45 90.00
Closest atoms and distances in Å follow each position.
Space group C2/m (No. 12)
Unique sites:
Tl  0.1810  0.0000  0.2847 [4 per cell]  1 F 2.94, 2 Cl 3.28
W  0.0000  0.5000  0.0000 [2 per cell]  2 F 1.99
Cl  0.0942  0.2587  0.8123 [8 per cell]  1 W 2.45
F  0.1412  0.5000  0.2678 [4 per cell]  1 W 1.99

Calculated values
**Total DFT energy (no corrections)**: -4.08 eV per atom